a:
InRhSeBr2 | the Alexandria database | PBE | optimized geometry; space group = P4/mmm, No. 123
1.0
5.376 0.000 0.000
0.000 5.376 0.000
0.000 0.000 5.367
In Rh Se Br
1 1 1 2
Direct
0.000 0.000 0.000 In
0.500 0.500 0.500 Rh
0.000 0.000 0.500 Se
0.000 0.500 0.000 Br
0.500 0.000 0.000 Br

b:
InRhSeBr2 | the Alexandria database | PBE | optimized geometry; space group = P4/mmm, No. 123
1.0
5.363 0.000 0.000
0.000 5.363 0.000
0.000 0.000 4.725
In Rh Se Br
1 1 1 2
Direct
0.000 0.000 0.000 In
0.500 0.500 0.500 Rh
0.500 0.500 0.000 Se
0.000 0.500 0.500 Br
0.500 0.000 0.500 Br

b is the most stable structure; the next one sits 703 meV/atom above it.

a:
InRuSeBr2 | the Alexandria database | PBE | optimized geometry; space group = P4/mmm, No. 123
1.0
5.371 0.000 0.000
0.000 5.371 0.000
0.000 0.000 5.283
In Ru Se Br
1 1 1 2
Direct
0.000 0.000 0.000 In
0.500 0.500 0.500 Ru
0.000 0.000 0.500 Se
0.000 0.500 0.000 Br
0.500 0.000 0.000 Br

b:
InRuSeBr2 | the Alexandria database | PBE | optimized geometry; space group = P4/mmm, No. 123
1.0
5.284 0.000 0.000
0.000 5.284 0.000
0.000 0.000 4.607
In Ru Se Br
1 1 1 2
Direct
0.000 0.000 0.000 In
0.500 0.500 0.500 Ru
0.500 0.500 0.000 Se
0.000 0.500 0.500 Br
0.500 0.000 0.500 Br

b is the most stable structure; the next one sits 782 meV/atom above it.

a:
InSBr2 | the Alexandria database | PBE | optimized geometry; space group = P1, No. 1
1.0
6.874 0.000 0.000
2.681 6.613 0.000
3.410 0.741 6.980
In S Br
2 2 4
Direct
0.000 0.000 0.000 In
0.497 0.769 0.372 In
0.064 0.371 0.584 S
0.975 0.115 0.677 S
0.003 0.626 0.090 Br
0.355 0.037 0.002 Br
0.649 0.168 0.286 Br
0.749 0.638 0.701 Br

b:
InSBr2 | the Alexandria database | PBE | optimized geometry; space group = I-42d, No. 122
1.0
-5.077 5.077 2.532
5.077 -5.077 2.532
5.077 5.077 -2.532
In S Br
2 2 4
Direct
0.000 0.000 0.000 In
0.750 0.250 0.500 In
0.250 0.750 0.500 S
0.500 0.500 0.000 S
0.375 0.225 0.350 Br
0.775 0.125 0.150 Br
0.875 0.025 0.650 Br
0.975 0.625 0.850 Br

c:
InSBr2 | the Alexandria database | PBE | optimized geometry; space group = P1, No. 1
1.0
5.790 0.000 0.000
1.732 7.432 0.000
2.162 0.857 7.633
In S Br
2 2 4
Direct
0.000 0.000 0.000 In
0.329 0.432 0.809 In
0.423 0.109 0.954 S
0.734 0.958 0.815 S
0.248 0.644 0.057 Br
0.467 0.576 0.508 Br
0.825 0.033 0.319 Br
0.868 0.390 0.881 Br

d:
InSBr2 | the Alexandria database | PBE | optimized geometry; space group = Imm2, No. 44
1.0
-2.003 4.815 3.358
2.003 -4.815 3.358
2.003 4.815 -3.358
In S Br
1 1 2
Direct
0.000 0.000 0.000 In
0.224 0.724 0.500 S
0.538 0.727 0.811 Br
0.916 0.727 0.189 Br

c is the most stable structure; the next one sits 91 meV/atom above it.

a:
InSBr2 | the Alexandria database | PBE | optimized geometry; space group = P1, No. 1
1.0
6.223 0.000 0.000
3.106 6.510 0.000
2.717 2.526 6.478
In S Br
2 2 4
Direct
0.000 0.000 0.000 In
0.376 0.227 0.537 In
0.400 0.128 0.913 S
0.687 0.857 0.010 S
0.276 0.540 0.182 Br
0.299 0.858 0.642 Br
0.849 0.112 0.342 Br
0.891 0.412 0.720 Br

b:
InSBr2 | the Alexandria database | PBE | optimized geometry; space group = Fm-3m, No. 225
1.0
0.000 3.735 3.735
3.735 0.000 3.735
3.735 3.735 0.000
In S Br
1 1 2
Direct
0.000 0.000 0.000 In
0.500 0.500 0.500 S
0.250 0.250 0.250 Br
0.750 0.750 0.750 Br

c:
InSBr2 | the Alexandria database | PBE | optimized geometry; space group = P1, No. 1
1.0
6.914 0.000 0.000
-3.416 6.020 0.000
-2.393 -1.902 7.187
In S Br
2 2 4
Direct
0.000 0.000 0.000 In
0.428 0.266 0.626 In
0.800 0.269 0.681 S
0.962 0.331 0.964 S
0.098 0.903 0.705 Br
0.215 0.427 0.421 Br
0.315 0.970 0.254 Br
0.596 0.607 0.949 Br

d:
InSBr2 | the Alexandria database | PBE | optimized geometry; space group = P1, No. 1
1.0
4.018 0.000 0.000
1.853 5.493 0.000
1.129 0.947 7.387
In S Br
1 1 2
Direct
0.000 0.000 0.000 In
0.481 0.158 0.824 S
0.477 0.636 0.835 Br
0.910 0.908 0.332 Br

c is the most stable structure; the next one sits 14 meV/atom above it.